(1)
DFT (PBE) results for a relaxed structure of TmMnS.

a = 3.816 Å, b = 3.816 Å, c = 11.083 Å
α = 80.09°, β = 80.09°, γ = 60.00°
Sites, in units of the cell vectors:
S: 0.722 0.722 0.833
S: 0.278 0.278 0.167
Mn: 0.831 0.831 0.508
Mn: 0.169 0.169 0.492
Tm: 0.570 0.570 0.289
Tm: 0.430 0.430 0.711

Results
DOS(E_F) = 0.3992 states/eV/atom
Magnetic moment = 0.0 μB/f.u.
Symmetry = R-3m, No. 166
Calculated total energy = -6.63 eV/atom
Formation energy without anion corrections = -709 meV per atom

***

(2)
DFT (PBE) results for a relaxed structure of Tm3Mn5S12.

a = 12.849 Å, b = 12.849 Å, c = 12.849 Å
α = 109.47°, β = 109.47°, γ = 109.47°
Sites, in units of the cell vectors:
S: 0.208 0.534 0.624
S: 0.326 0.534 0.410
S: 0.876 0.584 0.910
S: 0.584 0.876 0.410
S: 0.826 0.910 0.034
S: 0.534 0.208 0.124
S: 0.034 0.624 0.708
S: 0.090 0.174 0.466
S: 0.590 0.966 0.674
S: 0.916 0.826 0.792
S: 0.084 0.174 0.208
S: 0.966 0.376 0.292
S: 0.624 0.034 0.208
S: 0.084 0.910 0.376
S: 0.584 0.708 0.674
S: 0.876 0.292 0.466
S: 0.416 0.292 0.326
S: 0.466 0.674 0.090
S: 0.410 0.376 0.584
S: 0.826 0.916 0.292
S: 0.792 0.326 0.916
S: 0.034 0.410 0.826
S: 0.410 0.034 0.326
S: 0.590 0.624 0.416
S: 0.910 0.826 0.534
S: 0.174 0.084 0.708
S: 0.466 0.792 0.876
S: 0.674 0.466 0.590
S: 0.326 0.792 0.416
S: 0.708 0.584 0.174
S: 0.208 0.674 0.084
S: 0.624 0.590 0.916
S: 0.090 0.916 0.124
S: 0.534 0.326 0.910
S: 0.416 0.124 0.590
S: 0.916 0.090 0.624
S: 0.674 0.208 0.584
S: 0.124 0.708 0.534
S: 0.174 0.090 0.966
S: 0.292 0.416 0.826
S: 0.966 0.590 0.174
S: 0.792 0.466 0.376
S: 0.910 0.084 0.876
S: 0.708 0.124 0.034
S: 0.376 0.966 0.792
S: 0.292 0.876 0.966
S: 0.376 0.410 0.084
S: 0.124 0.416 0.090
Mn: 0.500 0.000 0.000
Mn: 0.500 0.500 0.000
Mn: 0.375 0.125 0.750
Mn: 0.625 0.875 0.250
Mn: 0.500 0.500 0.500
Mn: 0.000 0.500 0.500
Mn: 0.375 0.250 0.125
Mn: 0.625 0.750 0.875
Mn: 0.250 0.375 0.625
Mn: 0.750 0.625 0.375
Mn: 0.250 0.875 0.125
Mn: 0.875 0.625 0.750
Mn: 0.000 0.000 0.000
Mn: 0.125 0.375 0.250
Mn: 0.750 0.125 0.875
Mn: 0.000 0.000 0.500
Mn: 0.500 0.000 0.500
Mn: 0.000 0.500 0.000
Mn: 0.875 0.250 0.625
Mn: 0.125 0.750 0.375
Tm: 0.250 0.625 0.875
Tm: 0.875 0.750 0.125
Tm: 0.375 0.625 0.250
Tm: 0.125 0.875 0.750
Tm: 0.250 0.125 0.375
Tm: 0.625 0.375 0.750
Tm: 0.375 0.750 0.625
Tm: 0.625 0.250 0.375
Tm: 0.125 0.250 0.875
Tm: 0.750 0.875 0.625
Tm: 0.875 0.125 0.250
Tm: 0.750 0.375 0.125

Results
DOS(E_F) = 0.2486 states/eV/atom
Magnetic moment = 20.0 μB/f.u.
Symmetry = Ia-3d, No. 230
Calculated total energy = -6.48 eV/atom
Formation energy without anion corrections = -1043 meV per atom

***

(3)
DFT (PBE) results for a relaxed structure of Tm3MnS6.

a = 6.453 Å, b = 8.370 Å, c = 8.370 Å
α = 102.47°, β = 90.00°, γ = 90.00°
Sites, in units of the cell vectors:
Tm: 0.980 0.084 0.282
Tm: 0.980 0.718 0.916
Tm: 0.480 0.916 0.718
Tm: 0.394 0.401 0.599
Tm: 0.480 0.282 0.084
Tm: 0.894 0.599 0.401
S: 0.186 0.367 0.307
S: 0.200 0.100 0.567
S: 0.174 0.039 0.961
S: 0.186 0.693 0.633
S: 0.700 0.900 0.433
S: 0.686 0.307 0.367
S: 0.674 0.961 0.039
S: 0.686 0.633 0.693
S: 0.664 0.220 0.780
S: 0.200 0.433 0.900
S: 0.164 0.780 0.220
S: 0.700 0.567 0.100
Mn: 0.520 0.799 0.201
Mn: 0.020 0.201 0.799

Results
DOS(E_F) = 0.5803 states/eV/atom
Magnetic moment = 4.0 μB/f.u.
Symmetry = Cmc2_1, No. 36
Excess energy over the best structure of this formula in the dataset = 0 meV/atom
Calculated total energy = -6.35 eV/atom
Formation energy without anion corrections = -1619 meV per atom

***

(4)
DFT (PBE) results for a relaxed structure of Tm3MnS6.

a = 6.636 Å, b = 6.636 Å, c = 7.077 Å
α = 62.04°, β = 62.04°, γ = 60.00°
Sites, in units of the cell vectors:
S: 0.951 0.579 0.252
S: 0.742 0.053 0.736
S: 0.468 0.742 0.736
S: 0.579 0.218 0.252
S: 0.053 0.468 0.736
S: 0.218 0.951 0.252
Tm: 0.150 0.150 0.550
Tm: 0.348 0.348 0.956
Tm: 0.647 0.647 0.059
Mn: 0.844 0.844 0.469

Results
DOS(E_F) = 0.4629 states/eV/atom
Magnetic moment = 4.0 μB/f.u.
Symmetry = R3, No. 146
Excess energy over the best structure of this formula in the dataset = 15 meV/atom
Calculated total energy = -6.34 eV/atom
Formation energy without anion corrections = -1604 meV per atom

***

Q: Which of these has the highest magnetic moment?
A: Tm3Mn5S12

***

Q: DOS(E_F) of number 2 (Tm3Mn5S12)?
A: 0.2486 states/eV/atom

***

Repeat the second record exactly.
DFT (PBE) results for a relaxed structure of Tm3Mn5S12.

a = 12.849 Å, b = 12.849 Å, c = 12.849 Å
α = 109.47°, β = 109.47°, γ = 109.47°
Sites, in units of the cell vectors:
S: 0.208 0.534 0.624
S: 0.326 0.534 0.410
S: 0.876 0.584 0.910
S: 0.584 0.876 0.410
S: 0.826 0.910 0.034
S: 0.534 0.208 0.124
S: 0.034 0.624 0.708
S: 0.090 0.174 0.466
S: 0.590 0.966 0.674
S: 0.916 0.826 0.792
S: 0.084 0.174 0.208
S: 0.966 0.376 0.292
S: 0.624 0.034 0.208
S: 0.084 0.910 0.376
S: 0.584 0.708 0.674
S: 0.876 0.292 0.466
S: 0.416 0.292 0.326
S: 0.466 0.674 0.090
S: 0.410 0.376 0.584
S: 0.826 0.916 0.292
S: 0.792 0.326 0.916
S: 0.034 0.410 0.826
S: 0.410 0.034 0.326
S: 0.590 0.624 0.416
S: 0.910 0.826 0.534
S: 0.174 0.084 0.708
S: 0.466 0.792 0.876
S: 0.674 0.466 0.590
S: 0.326 0.792 0.416
S: 0.708 0.584 0.174
S: 0.208 0.674 0.084
S: 0.624 0.590 0.916
S: 0.090 0.916 0.124
S: 0.534 0.326 0.910
S: 0.416 0.124 0.590
S: 0.916 0.090 0.624
S: 0.674 0.208 0.584
S: 0.124 0.708 0.534
S: 0.174 0.090 0.966
S: 0.292 0.416 0.826
S: 0.966 0.590 0.174
S: 0.792 0.466 0.376
S: 0.910 0.084 0.876
S: 0.708 0.124 0.034
S: 0.376 0.966 0.792
S: 0.292 0.876 0.966
S: 0.376 0.410 0.084
S: 0.124 0.416 0.090
Mn: 0.500 0.000 0.000
Mn: 0.500 0.500 0.000
Mn: 0.375 0.125 0.750
Mn: 0.625 0.875 0.250
Mn: 0.500 0.500 0.500
Mn: 0.000 0.500 0.500
Mn: 0.375 0.250 0.125
Mn: 0.625 0.750 0.875
Mn: 0.250 0.375 0.625
Mn: 0.750 0.625 0.375
Mn: 0.250 0.875 0.125
Mn: 0.875 0.625 0.750
Mn: 0.000 0.000 0.000
Mn: 0.125 0.375 0.250
Mn: 0.750 0.125 0.875
Mn: 0.000 0.000 0.500
Mn: 0.500 0.000 0.500
Mn: 0.000 0.500 0.000
Mn: 0.875 0.250 0.625
Mn: 0.125 0.750 0.375
Tm: 0.250 0.625 0.875
Tm: 0.875 0.750 0.125
Tm: 0.375 0.625 0.250
Tm: 0.125 0.875 0.750
Tm: 0.250 0.125 0.375
Tm: 0.625 0.375 0.750
Tm: 0.375 0.750 0.625
Tm: 0.625 0.250 0.375
Tm: 0.125 0.250 0.875
Tm: 0.750 0.875 0.625
Tm: 0.875 0.125 0.250
Tm: 0.750 0.375 0.125

Results
DOS(E_F) = 0.2486 states/eV/atom
Magnetic moment = 20.0 μB/f.u.
Symmetry = Ia-3d, No. 230
Calculated total energy = -6.48 eV/atom
Formation energy without anion corrections = -1043 meV per atom